(1)
DFT (PBE) results for a geometry-optimized MgBeV2Pt structure.

a = 4.1730 Å, b = 4.1730 Å, c = 4.2523 Å
α = 90.00°, β = 90.00°, γ = 90.00°
Sites, in units of the cell vectors:
Mg: 0.0000 0.0000 0.0000
Be: 0.5000 0.5000 0.5000
V: 0.0000 0.5000 0.5000
V: 0.5000 0.0000 0.5000
Pt: 0.5000 0.5000 0.0000

Computed properties:
The crystal system is tetragonal.

***

(2)
DFT (PBE) results for a geometry-optimized MgBe2Zn2Pt5 structure.

a = 9.1265 Å, b = 9.1265 Å, c = 3.4260 Å
α = 90.00°, β = 90.00°, γ = 90.00°
Sites, in units of the cell vectors:
Mg: 0.0000 0.0000 0.0000
Mg: 0.5000 0.5000 0.0000
Be: 0.1273 0.3727 0.0000
Be: 0.3727 0.8727 0.0000
Be: 0.6273 0.1273 0.0000
Be: 0.8727 0.6273 0.0000
Zn: 0.1728 0.6728 0.0000
Zn: 0.3272 0.1728 0.0000
Zn: 0.6728 0.8272 0.0000
Zn: 0.8272 0.3272 0.0000
Pt: 0.0000 0.5000 0.5000
Pt: 0.0781 0.2072 0.5000
Pt: 0.2072 0.9219 0.5000
Pt: 0.2928 0.4219 0.5000
Pt: 0.4219 0.7072 0.5000
Pt: 0.5000 0.0000 0.5000
Pt: 0.5781 0.2928 0.5000
Pt: 0.7072 0.5781 0.5000
Pt: 0.7928 0.0781 0.5000
Pt: 0.9219 0.7928 0.5000

Computed properties:
The crystal system is tetragonal.

***

(3)
DFT (PBE) results for a geometry-optimized Mg2BeZnPt2 structure.

a = 7.7719 Å, b = 7.7719 Å, c = 7.7719 Å
α = 140.21°, β = 57.10°, γ = 140.78°
Sites, in units of the cell vectors:
Mg: 0.1785 0.1889 0.3673
Mg: 0.3215 0.6889 0.0104
Mg: 0.6785 0.3111 0.9896
Mg: 0.8215 0.8111 0.6327
Be: 0.2500 0.7500 0.5000
Be: 0.7500 0.2500 0.5000
Zn: 0.2500 0.2500 0.0000
Zn: 0.7500 0.7500 0.0000
Pt: 0.1189 0.6831 0.8020
Pt: 0.3811 0.1831 0.5642
Pt: 0.6189 0.8169 0.4358
Pt: 0.8811 0.3169 0.1980

Computed properties:
The crystal system is orthorhombic.

***

(4)
DFT (PBE) results for a geometry-optimized MgBeZnPt structure.

a = 4.2754 Å, b = 4.2754 Å, c = 4.2754 Å
α = 60.00°, β = 60.00°, γ = 60.00°
Sites, in units of the cell vectors:
Mg: 0.0000 0.0000 0.0000
Be: 0.7500 0.7500 0.7500
Zn: 0.2500 0.2500 0.2500
Pt: 0.5000 0.5000 0.5000

Computed properties:
The crystal system is cubic.

***

(5)
DFT (PBE) results for a geometry-optimized Mg2Be2ZnPt5 structure.

a = 9.2566 Å, b = 9.2566 Å, c = 3.3505 Å
α = 90.00°, β = 90.00°, γ = 90.00°
Sites, in units of the cell vectors:
Mg: 0.1737 0.3263 0.0000
Mg: 0.3263 0.8263 0.0000
Mg: 0.6737 0.1737 0.0000
Mg: 0.8263 0.6737 0.0000
Be: 0.1262 0.6262 0.0000
Be: 0.3738 0.1262 0.0000
Be: 0.6262 0.8738 0.0000
Be: 0.8738 0.3738 0.0000
Zn: 0.0000 0.0000 0.0000
Zn: 0.5000 0.5000 0.0000
Pt: 0.0000 0.5000 0.5000
Pt: 0.0728 0.7914 0.5000
Pt: 0.2086 0.0728 0.5000
Pt: 0.2914 0.5728 0.5000
Pt: 0.4272 0.2914 0.5000
Pt: 0.5000 0.0000 0.5000
Pt: 0.5728 0.7086 0.5000
Pt: 0.7086 0.4272 0.5000
Pt: 0.7914 0.9272 0.5000
Pt: 0.9272 0.2086 0.5000

Computed properties:
The crystal system is tetragonal.

***

(6)
DFT (PBE) results for a geometry-optimized MgZrBePt structure.

a = 4.5281 Å, b = 4.5281 Å, c = 4.5281 Å
α = 60.00°, β = 60.00°, γ = 60.00°
Sites, in units of the cell vectors:
Mg: 0.0000 0.0000 0.0000
Zr: 0.5000 0.5000 0.5000
Be: 0.7500 0.7500 0.7500
Pt: 0.2500 0.2500 0.2500

Computed properties:
The crystal system is cubic.

***

Number 1: DFT total energy -5.66 eV per atom, formation enthalpy at 0 K 259 meV per atom. Number 2: DFT total energy -4.75 eV per atom, formation enthalpy at 0 K -573 meV per atom. Number 3: DFT total energy -4.00 eV per atom, formation enthalpy at 0 K -625 meV per atom. Number 4: DFT total energy -3.54 eV per atom, formation enthalpy at 0 K -377 meV per atom. Number 5: DFT total energy -4.99 eV per atom, formation enthalpy at 0 K -776 meV per atom. Number 6: DFT total energy -5.49 eV per atom, formation enthalpy at 0 K -516 meV per atom.